[1]
Li5Mg3 (PBE-GGA, optimized geometry); symmetry = No. 8; calculated density = 1.102 Mg/m³; volume = 20.3 Å³/atom; E = -0.133 Ry/atom; excess energy over the best structure of this formula in the dataset = 0.035 eV per atom; energy of formation = -0.010 eV/atom
1.0
-6.388 3.483 -3.388
4.249 -6.779 -0.642
-3.961 -2.417 6.308
Li Mg
10 6
Direct
0.269 0.957 0.911 Li
0.125 0.015 0.262 Li
0.237 0.737 0.585 Li
0.457 0.769 0.911 Li
0.423 0.211 0.626 Li
0.515 0.625 0.262 Li
0.649 0.367 0.184 Li
0.720 0.220 0.455 Li
0.711 0.923 0.626 Li
0.867 0.149 0.184 Li
0.210 0.364 0.545 Mg
0.154 0.232 0.922 Mg
0.218 0.718 0.220 Mg
0.855 0.355 0.849 Mg
0.732 0.654 0.922 Mg
0.864 0.710 0.545 Mg

[2]
Cd2AgIr (PBE-GGA, optimized geometry); symmetry = No. 47; calculated density = 12.085 Mg/m³; volume = 18.0 Å³/atom; E = -0.241 Ry/atom; energy of formation = 0.111 eV/atom
1.0
-0.867 -2.372 -1.649
-0.642 -2.073 3.320
-5.691 1.984 0.138
Ir Ag Cd
1 1 2
Direct
0.500 0.500 0.250 Ir
0.500 0.500 0.750 Ag
0.000 0.000 0.012 Cd
0.000 0.000 0.488 Cd

What is the volume in the first record?
20.3 Å³/atom